# 1
Computed, not measured: a relaxed structure of ScTcBr2 at the PBE level of DFT.

a = 4.598 Å, b = 4.598 Å, c = 16.923 Å
α = 90.00°, β = 90.00°, γ = 90.00°
Space group I-42d (No. 122)
Inequivalent atoms, fractional coordinates:
Sc: 0.000 0.000 0.000 (multiplicity 4)
Tc: 0.000 0.000 0.500 (multiplicity 4)
Br: 0.240 0.250 0.625 (multiplicity 8)

**ΔE_f (raw)**: 17 meV per atom
**Distance to the lowest polymorph of the same formula**: 487.7 meV/atom
**Uncorrected energy**: -19.98 eV/f.u.

=====

# 2
Computed, not measured: a relaxed structure of Sc2TcBr at the PBE level of DFT.

a = 3.4762 Å, b = 3.4762 Å, c = 26.5727 Å
α = 90.00°, β = 90.00°, γ = 120.00°
Space group R-3m (No. 166, hexagonal axes)
Inequivalent atoms, fractional coordinates:
Sc: 0.0000 0.0000 0.0996 (multiplicity 6)
Tc: 0.0000 0.0000 0.5000 (multiplicity 3)
Br: 0.0000 0.0000 0.0000 (multiplicity 3)

**ΔE_f (raw)**: -347 meV per atom
**Distance to the lowest polymorph of the same formula**: 277.7 meV/atom
**Uncorrected energy**: -26.09 eV/f.u.

=====

# 3
Computed, not measured: a relaxed structure of Sc2TcBr at the PBE level of DFT.

a = 3.350 Å, b = 3.494 Å, c = 14.921 Å
α = 90.00°, β = 90.00°, γ = 90.00°
Space group Imm2 (No. 44)
Inequivalent atoms, fractional coordinates:
Sc: 0.000 0.000 0.000 (multiplicity 2)
Sc: 0.000 0.500 0.295 (multiplicity 2)
Tc: 0.000 0.000 0.419 (multiplicity 2)
Br: 0.000 0.500 0.669 (multiplicity 2)

**ΔE_f (raw)**: -408 meV per atom
**Distance to the lowest polymorph of the same formula**: 216.7 meV/atom
**Uncorrected energy**: -26.33 eV/f.u.

=====

# 4
Computed, not measured: a relaxed structure of ScTcBr at the PBE level of DFT.

a = 3.489 Å, b = 5.158 Å, c = 13.821 Å
α = 90.00°, β = 90.00°, γ = 90.00°
Space group Fmm2 (No. 42)
Inequivalent atoms, fractional coordinates:
Sc: 0.000 0.000 0.000 (multiplicity 4)
Tc: 0.000 0.000 0.358 (multiplicity 4)
Br: 0.000 0.000 0.648 (multiplicity 4)

**ΔE_f (raw)**: 94 meV per atom
**Distance to the lowest polymorph of the same formula**: 106.9 meV/atom
**Uncorrected energy**: -18.09 eV/f.u.

=====

# 5
Computed, not measured: a relaxed structure of Sc2TcBr at the PBE level of DFT.

a = 3.509 Å, b = 5.253 Å, c = 9.633 Å
α = 90.00°, β = 90.00°, γ = 90.00°
Space group Cmm2 (No. 35)
Inequivalent atoms, fractional coordinates:
Sc: 0.000 0.000 0.000 (multiplicity 2)
Sc: 0.000 0.500 0.278 (multiplicity 2)
Tc: 0.000 0.500 0.807 (multiplicity 2)
Br: 0.000 0.000 0.482 (multiplicity 2)

**ΔE_f (raw)**: 82 meV per atom
**Distance to the lowest polymorph of the same formula**: 706.9 meV/atom
**Uncorrected energy**: -24.37 eV/f.u.

=====

# 6
Computed, not measured: a relaxed structure of Sc2TcBr at the PBE level of DFT.

a = 6.923 Å, b = 6.923 Å, c = 7.675 Å
α = 90.00°, β = 90.00°, γ = 90.00°
Space group I-42d (No. 122)
Inequivalent atoms, fractional coordinates:
Sc: 0.219 0.250 0.125 (multiplicity 8)
Tc: 0.000 0.000 0.000 (multiplicity 4)
Br: 0.000 0.000 0.500 (multiplicity 4)

**ΔE_f (raw)**: 113 meV per atom
**Distance to the lowest polymorph of the same formula**: 737.6 meV/atom
**Uncorrected energy**: -24.25 eV/f.u.

=====

Copy entry 4 word for word.
Computed, not measured: a relaxed structure of ScTcBr at the PBE level of DFT.

a = 3.489 Å, b = 5.158 Å, c = 13.821 Å
α = 90.00°, β = 90.00°, γ = 90.00°
Space group Fmm2 (No. 42)
Inequivalent atoms, fractional coordinates:
Sc: 0.000 0.000 0.000 (multiplicity 4)
Tc: 0.000 0.000 0.358 (multiplicity 4)
Br: 0.000 0.000 0.648 (multiplicity 4)

**ΔE_f (raw)**: 94 meV per atom
**Distance to the lowest polymorph of the same formula**: 106.9 meV/atom
**Uncorrected energy**: -18.09 eV/f.u.